[1]
Entry from Alexandria via LeMat-Bulk: a crystal of Nb2Bi2Au relaxed with PBEsol (meta-GGA SCAN).

```
data_Nb2Bi2Au
_symmetry_space_group_name_H-M 'I 4/m m m'
_symmetry_Int_Tables_number 139
_symmetry_space_group_name_Hall '-I 4 2'
_cell_length_a 3.6876
_cell_length_b 3.6876
_cell_length_c 17.4272
_cell_angle_alpha 90.00
_cell_angle_beta 90.00
_cell_angle_gamma 90.00
loop_
_atom_site_label
_atom_site_fract_x
_atom_site_fract_y
_atom_site_fract_z
Nb1 0.0000 0.5000 0.2500
Bi1 0.0000 0.0000 0.1054
Au1 0.0000 0.0000 0.5000
```

ΔE_f = 466 meV per atom

[2]
Entry from Alexandria via LeMat-Bulk: a crystal of SiHg2Os relaxed with PBEsol (meta-GGA SCAN).

```
data_SiHg2Os
_symmetry_space_group_name_H-M 'P 4 m m'
_symmetry_Int_Tables_number 99
_symmetry_space_group_name_Hall 'P 4 -2'
_cell_length_a 3.0697
_cell_length_b 3.0697
_cell_length_c 7.4253
_cell_angle_alpha 90.00
_cell_angle_beta 90.00
_cell_angle_gamma 90.00
loop_
_atom_site_label
_atom_site_fract_x
_atom_site_fract_y
_atom_site_fract_z
Si1 0.0000 0.0000 0.0000
Hg1 0.0000 0.0000 0.5824
Hg2 0.5000 0.5000 0.2762
Os1 0.5000 0.5000 0.8583
```

E_form (uncorrected) = 330 meV per atom